YTiB3 (PBE-GGA, relaxed); mass density = 4.0 Mg/m³; spin magnetization = 0.0 μB/cell; calculated volume = 71 Å³/cell; energy of formation = 0.400 eV/atom; energy = -0.238 Ha/atom; space group = No. 221
1.0
4.140 0.000 0.000
0.000 4.140 0.000
0.000 0.000 4.140
Y Ti B
1 1 3
Direct
0.000 0.000 0.000
0.500 0.500 0.500
0.000 0.500 0.500
0.500 0.000 0.500
0.500 0.500 0.000

---

Np2AlGa4 (PBE-GGA, relaxed); mass density = 8.8 Mg/m³; spin magnetization = 8.5 μB/cell; calculated volume = 147 Å³/cell; energy of formation = 0.109 eV/atom; energy = -0.215 Ha/atom; space group = No. 115
1.0
4.704 0.000 0.000
0.000 4.704 0.000
0.000 0.000 6.630
Np Al Ga
2 1 4
Direct
0.000 0.500 0.245
0.500 0.000 0.755
0.500 0.500 0.000
0.000 0.000 0.500
0.000 0.500 0.771
0.500 0.000 0.229
0.500 0.500 0.500

---

PaCu2Ag2Se4 (PBE-GGA, relaxed); mass density = 7.3 Mg/m³; formation energy (no corrections) = -0.50 eV per atom; spin magnetization = 0.8 μB/cell; calculated volume = 204 Å³/cell; energy = -0.171 Ha/atom; space group = No. 12
1.0
7.374 -2.017 0.000
7.374 2.017 0.000
-4.387 0.000 6.843
Pa Cu Ag Se
1 2 2 4
Direct
0.000 0.000 0.000
0.320 0.320 0.012
0.680 0.680 0.988
0.169 0.169 0.495
0.831 0.831 0.505
0.232 0.232 0.206
0.488 0.488 0.740
0.512 0.512 0.260
0.768 0.768 0.794

---

ScAg3H (PBE-GGA, relaxed); mass density = 7.7 Mg/m³; spin magnetization = 0.0 μB/cell; calculated volume = 80 Å³/cell; energy = -0.128 Ha/atom; space group = No. 221
1.0
4.305 0.000 0.000
0.000 4.305 0.000
0.000 0.000 4.305
Sc Ag H
1 3 1
Direct
0.000 0.000 0.000
0.000 0.500 0.500
0.500 0.000 0.500
0.500 0.500 0.000
0.500 0.500 0.500

---

Re8Ru (PBE-GGA, relaxed); mass density = 19.7 Mg/m³; spin magnetization = 0.0 μB/cell; calculated volume = 134 Å³/cell; energy of formation = 0.060 eV/atom; energy = -0.442 Ha/atom; space group = No. 139
1.0
-4.153 4.153 1.943
4.153 -4.153 1.943
4.153 4.153 -1.943
Re Ru
8 1
Direct
0.000 0.331 0.331
0.000 0.669 0.669
0.331 0.000 0.331
0.335 0.335 0.670
0.335 0.665 0.000
0.665 0.335 0.000
0.665 0.665 0.330
0.669 0.000 0.669
0.000 0.000 0.000

---

Pr3Nd6SmY2 (PBE-GGA, relaxed); mass density = 6.4 Mg/m³; spin magnetization = 0.0 μB/cell; calculated volume = 419 Å³/cell; energy of formation = 0.013 eV/atom; energy = -0.185 Ha/atom; space group = No. 12
1.0
3.181 -5.512 0.000
3.181 5.512 0.000
-2.127 0.000 11.960
Pr Nd Sm Y
3 6 1 2
Direct
0.000 0.000 0.000
0.333 0.667 0.000
0.667 0.333 0.000
0.084 0.418 0.253
0.249 0.249 0.746
0.418 0.084 0.253
0.582 0.916 0.747
0.751 0.751 0.254
0.916 0.582 0.747
0.500 0.500 0.500
0.167 0.833 0.500
0.833 0.167 0.500

---

SmHf4N6 (PBE-GGA, relaxed); mass density = 11.3 Mg/m³; formation energy (no corrections) = -1.74 eV per atom; spin magnetization = 0.0 μB/cell; calculated volume = 280 Å³/cell; energy = -0.380 Ha/atom; space group = No. 63
1.0
1.599 -5.330 0.000
1.599 5.330 0.000
0.000 0.000 16.404
Sm Hf N
2 8 12
Direct
0.149 0.851 0.750
0.851 0.149 0.250
0.106 0.894 0.137
0.106 0.894 0.363
0.369 0.631 0.047
0.369 0.631 0.453
0.631 0.369 0.547
0.631 0.369 0.953
0.894 0.106 0.637
0.894 0.106 0.863
0.000 0.000 0.000
0.000 0.000 0.500
0.185 0.815 0.250
0.270 0.730 0.582
0.270 0.730 0.918
0.467 0.533 0.157
0.467 0.533 0.343
0.533 0.467 0.657
0.533 0.467 0.843
0.730 0.270 0.082
0.730 0.270 0.418
0.815 0.185 0.750

---

TmU2Se4 (PBE-GGA, relaxed); mass density = 8.8 Mg/m³; formation energy (no corrections) = -1.24 eV per atom; spin magnetization = 12.7 μB/cell; calculated volume = 364 Å³/cell; energy = -0.261 Ha/atom; space group = No. 63
1.0
1.925 -6.701 0.000
1.925 6.701 0.000
0.000 0.000 14.098
Tm U Se
2 4 8
Direct
0.115 0.885 0.750
0.885 0.115 0.250
0.360 0.640 0.566
0.360 0.640 0.934
0.640 0.360 0.066
0.640 0.360 0.434
0.000 0.000 0.000
0.000 0.000 0.500
0.288 0.712 0.129
0.288 0.712 0.371
0.459 0.541 0.750
0.541 0.459 0.250
0.712 0.288 0.629
0.712 0.288 0.871